1.
Computed, not measured: CeHo2Er9 after structural relaxation at the GGA-PBE level of DFT.

Properties
The calculated formation energy comes out at 0.04 eV per atom.

a = 4.967 Å, b = 4.967 Å, c = 14.881 Å
α = 90.00°, β = 90.00°, γ = 90.00°
Space group P4/mmm (No. 123)
Unique sites:
Ce1 0.000 0.000 0.000 (multiplicity 1)
Ho1 0.000 0.000 0.332 (multiplicity 2)
Er1 0.000 0.500 0.166 (multiplicity 4)
Er2 0.000 0.500 0.500 (multiplicity 2)
Er3 0.500 0.500 0.000 (multiplicity 1)
Er4 0.500 0.500 0.335 (multiplicity 2)

***

2.
Computed, not measured: CeHo12Er3 after structural relaxation at the GGA-PBE level of DFT.

Properties
The calculated formation energy comes out at 0.03 eV per atom.

a = 4.980 Å, b = 4.980 Å, c = 19.905 Å
α = 90.00°, β = 90.00°, γ = 90.00°
Space group P4/mmm (No. 123)
Unique sites:
Ce1 0.000 0.000 0.000 (multiplicity 1)
Ho1 0.000 0.500 0.125 (multiplicity 4)
Ho2 0.000 0.500 0.375 (multiplicity 4)
Ho3 0.500 0.500 0.000 (multiplicity 1)
Ho4 0.500 0.500 0.252 (multiplicity 2)
Ho5 0.500 0.500 0.500 (multiplicity 1)
Er1 0.000 0.000 0.249 (multiplicity 2)
Er2 0.000 0.000 0.500 (multiplicity 1)

***

3.
Computed, not measured: Ce2Ho2Er15 after structural relaxation at the GGA-PBE level of DFT.

Properties
The calculated formation energy comes out at 0.30 eV per atom.

a = 11.0306 Å, b = 11.0306 Å, c = 17.5477 Å
α = 90.00°, β = 90.00°, γ = 120.00°
Space group R-3m (No. 166, hexagonal axes)
Unique sites:
Ce1 0.0000 0.0000 0.0757 (multiplicity 6)
Ho1 0.0000 0.0000 0.3194 (multiplicity 6)
Er1 0.0000 0.3044 0.0000 (multiplicity 18)
Er2 0.0000 0.5000 0.5000 (multiplicity 9)
Er3 0.0070 0.5035 0.1391 (multiplicity 18)

***

4.
Computed, not measured: CeHo5Er8 after structural relaxation at the GGA-PBE level of DFT.

Properties
The calculated formation energy comes out at 0.27 eV per atom.

a = 9.383 Å, b = 9.383 Å, c = 10.126 Å
α = 90.00°, β = 90.00°, γ = 90.00°
Space group I-4 (No. 82)
Unique sites:
Ce1 0.000 0.000 0.000 (multiplicity 2)
Ho1 0.000 0.500 0.750 (multiplicity 2)
Ho2 0.113 0.290 0.325 (multiplicity 8)
Er1 0.072 0.178 0.650 (multiplicity 8)
Er2 0.087 0.324 0.998 (multiplicity 8)

***

5.
Computed, not measured: CeHo3Er6 after structural relaxation at the GGA-PBE level of DFT.

Properties
The energy above the most stable polymorph in this dataset comes out at 0 meV per atom. The calculated formation energy comes out at 0.13 eV per atom.

a = 7.291 Å, b = 18.491 Å, c = 9.257 Å
α = 90.00°, β = 90.00°, γ = 90.00°
Space group Cmc2_1 (No. 36)
Unique sites:
Ce1 0.000 0.212 0.000 (multiplicity 4)
Ho1 0.000 0.461 0.843 (multiplicity 4)
Ho2 0.250 0.123 0.668 (multiplicity 8)
Er1 0.000 0.039 0.341 (multiplicity 4)
Er2 0.000 0.289 0.497 (multiplicity 4)
Er3 0.245 0.311 0.797 (multiplicity 8)
Er4 0.250 0.063 0.044 (multiplicity 8)

***

6.
Computed, not measured: CeHo6Er after structural relaxation at the GGA-PBE level of DFT.

Properties
The energy above the most stable polymorph in this dataset comes out at 0 meV per atom. The calculated formation energy comes out at 0.05 eV per atom.

a = 4.983 Å, b = 4.983 Å, c = 9.948 Å
α = 90.00°, β = 90.00°, γ = 90.00°
Space group P4/mmm (No. 123)
Unique sites:
Ce1 0.000 0.000 0.000 (multiplicity 1)
Ho1 0.000 0.500 0.249 (multiplicity 4)
Ho2 0.500 0.500 0.000 (multiplicity 1)
Ho3 0.500 0.500 0.500 (multiplicity 1)
Er1 0.000 0.000 0.500 (multiplicity 1)

***

7.
Computed, not measured: La6CeHoEr2 after structural relaxation at the GGA-PBE level of DFT.

Properties
The calculated formation energy comes out at 0.22 eV per atom.

a = 12.101 Å, b = 6.909 Å, c = 9.044 Å
α = 90.00°, β = 110.50°, γ = 90.00°
Space group C2/m (No. 12)
Unique sites:
La1 0.145 0.241 0.305 (multiplicity 8)
La2 0.167 0.000 0.921 (multiplicity 4)
Ce1 0.000 0.000 0.500 (multiplicity 2)
Ho1 0.000 0.500 0.000 (multiplicity 2)
Er1 0.101 0.500 0.680 (multiplicity 4)

***

8.
Computed, not measured: Ce2HoErN4 after structural relaxation at the GGA-PBE level of DFT.

Properties
For the uncorrected formation energy, the calculation gives -37.3 kcal/mol of atoms.

a = 6.063 Å, b = 3.501 Å, c = 6.077 Å
α = 90.00°, β = 109.43°, γ = 90.00°
Space group P2/m (No. 10)
Unique sites:
Ce1 0.000 0.000 0.000 (multiplicity 1)
Ce2 0.500 0.500 0.000 (multiplicity 1)
Ho1 0.000 0.500 0.500 (multiplicity 1)
Er1 0.500 0.000 0.500 (multiplicity 1)
N1 0.249 0.000 0.745 (multiplicity 2)
N2 0.253 0.500 0.255 (multiplicity 2)

***

9.
Computed, not measured: CeHoEr2N4 after structural relaxation at the GGA-PBE level of DFT.

Properties
For the uncorrected formation energy, the calculation gives -39.0 kcal/mol of atoms.

a = 5.997 Å, b = 3.470 Å, c = 5.998 Å
α = 90.00°, β = 109.30°, γ = 90.00°
Space group P2/m (No. 10)
Unique sites:
Ce1 0.000 0.000 0.000 (multiplicity 1)
Ho1 0.500 0.500 0.000 (multiplicity 1)
Er1 0.000 0.500 0.500 (multiplicity 1)
Er2 0.500 0.000 0.500 (multiplicity 1)
N1 0.249 0.000 0.749 (multiplicity 2)
N2 0.252 0.500 0.253 (multiplicity 2)

***

10.
Computed, not measured: CeHoErN3 after structural relaxation at the GGA-PBE level of DFT.

Properties
For the uncorrected formation energy, the calculation gives -33.4 kcal/mol of atoms.

a = 5.974 Å, b = 3.449 Å, c = 9.032 Å
α = 90.00°, β = 101.80°, γ = 90.00°
Space group P2_1/m (No. 11)
Unique sites:
Ce1 0.155 0.250 0.196 (multiplicity 2)
Ho1 0.356 0.250 0.861 (multiplicity 2)
Er1 0.270 0.750 0.545 (multiplicity 2)
N1 0.040 0.250 0.668 (multiplicity 2)
N2 0.243 0.750 0.999 (multiplicity 2)
N3 0.461 0.750 0.346 (multiplicity 2)

***

11.
Computed, not measured: Ce2NdHo3Er6 after structural relaxation at the GGA-PBE level of DFT.

Properties
The calculated formation energy comes out at 0.06 eV per atom.

a = 5.004 Å, b = 9.921 Å, c = 15.039 Å
α = 90.00°, β = 90.00°, γ = 90.00°
Space group Immm (No. 71)
Unique sites:
Ce1 0.000 0.000 0.166 (multiplicity 4)
Nd1 0.000 0.000 0.500 (multiplicity 2)
Ho1 0.000 0.500 0.168 (multiplicity 4)
Ho2 0.000 0.500 0.500 (multiplicity 2)
Er1 0.000 0.247 0.000 (multiplicity 4)
Er2 0.000 0.252 0.332 (multiplicity 8)

***

12.
Computed, not measured: CeNdHo4Er2 after structural relaxation at the GGA-PBE level of DFT.

Properties
The calculated formation energy comes out at 0.05 eV per atom.

a = 5.010 Å, b = 5.026 Å, c = 9.969 Å
α = 90.00°, β = 90.00°, γ = 90.00°
Space group Pmmm (No. 47)
Unique sites:
Ce1 0.000 0.000 0.000 (multiplicity 1)
Nd1 0.500 0.500 0.500 (multiplicity 1)
Ho1 0.000 0.500 0.247 (multiplicity 2)
Ho2 0.500 0.000 0.247 (multiplicity 2)
Er1 0.000 0.000 0.500 (multiplicity 1)
Er2 0.500 0.500 0.000 (multiplicity 1)

***

13.
Computed, not measured: CeNd2HoEr5 after structural relaxation at the GGA-PBE level of DFT.

Properties
The calculated formation energy comes out at 0.27 eV per atom.

a = 8.548 Å, b = 8.548 Å, c = 15.577 Å
α = 90.00°, β = 90.00°, γ = 90.00°
Space group I4/mcm (No. 140)
Unique sites:
Ce1 0.000 0.500 0.250 (multiplicity 4)
Nd1 0.120 0.380 0.000 (multiplicity 8)
Ho1 0.000 0.000 0.250 (multiplicity 4)
Er1 0.000 0.000 0.000 (multiplicity 4)
Er2 0.206 0.294 0.359 (multiplicity 16)

***

14.
Computed, not measured: Ce2Nd3Ho6Er after structural relaxation at the GGA-PBE level of DFT.

Properties
The calculated formation energy comes out at 0.04 eV per atom.

a = 6.173 Å, b = 10.688 Å, c = 11.739 Å
α = 90.00°, β = 100.08°, γ = 90.00°
Space group C2/m (No. 12)
Unique sites:
Ce1 0.000 0.166 0.000 (multiplicity 4)
Nd1 0.000 0.000 0.500 (multiplicity 2)
Nd2 0.000 0.334 0.500 (multiplicity 4)
Ho1 0.247 0.000 0.246 (multiplicity 4)
Ho2 0.250 0.168 0.755 (multiplicity 8)
Er1 0.000 0.500 0.000 (multiplicity 2)

***

15.
Computed, not measured: CeNdHoEr2 after structural relaxation at the GGA-PBE level of DFT.

Properties
The calculated formation energy comes out at 0.30 eV per atom.

a = 6.748 Å, b = 8.021 Å, c = 6.067 Å
α = 90.00°, β = 90.17°, γ = 90.00°
Space group P2/c (No. 13)
Unique sites:
Ce1 0.000 0.000 0.000 (multiplicity 2)
Nd1 0.500 0.155 0.250 (multiplicity 2)
Ho1 0.000 0.348 0.250 (multiplicity 2)
Er1 0.260 0.325 0.751 (multiplicity 4)

***

16.
Computed, not measured: CeNdHo2Er4 after structural relaxation at the GGA-PBE level of DFT.

Properties
The calculated formation energy comes out at 0.05 eV per atom.

a = 5.008 Å, b = 5.027 Å, c = 9.929 Å
α = 90.00°, β = 90.00°, γ = 90.00°
Space group Pmmm (No. 47)
Unique sites:
Ce1 0.000 0.000 0.000 (multiplicity 1)
Nd1 0.500 0.500 0.500 (multiplicity 1)
Ho1 0.000 0.000 0.500 (multiplicity 1)
Ho2 0.500 0.500 0.000 (multiplicity 1)
Er1 0.000 0.500 0.246 (multiplicity 2)
Er2 0.500 0.000 0.247 (multiplicity 2)

***

17.
Computed, not measured: CeNdHoEr after structural relaxation at the GGA-PBE level of DFT.

Properties
The calculated formation energy comes out at 0.16 eV per atom.

a = 8.024 Å, b = 8.024 Å, c = 8.024 Å
α = 90.00°, β = 90.00°, γ = 90.00°
Space group F-43m (No. 216)
Unique sites:
Ce1 0.000 0.000 0.000 (multiplicity 4)
Nd1 0.000 0.000 0.500 (multiplicity 4)
Ho1 0.250 0.250 0.750 (multiplicity 4)
Er1 0.250 0.250 0.250 (multiplicity 4)

***

18.
Computed, not measured: CeNd2HoEr after structural relaxation at the GGA-PBE level of DFT.

Properties
The calculated formation energy comes out at 0.28 eV per atom.

a = 6.741 Å, b = 8.127 Å, c = 6.096 Å
α = 90.00°, β = 90.11°, γ = 90.00°
Space group P2/c (No. 13)
Unique sites:
Ce1 0.000 0.000 0.000 (multiplicity 2)
Nd1 0.265 0.312 0.251 (multiplicity 4)
Ho1 0.500 0.127 0.750 (multiplicity 2)
Er1 0.000 0.355 0.750 (multiplicity 2)

***

19.
Computed, not measured: CeNd6Ho2Er after structural relaxation at the GGA-PBE level of DFT.

Properties
The calculated formation energy comes out at 0.24 eV per atom.

a = 11.294 Å, b = 7.080 Å, c = 8.845 Å
α = 90.00°, β = 103.53°, γ = 90.00°
Space group C2/m (No. 12)
Unique sites:
Ce1 0.000 0.000 0.000 (multiplicity 2)
Nd1 0.126 0.000 0.418 (multiplicity 4)
Nd2 0.172 0.267 0.797 (multiplicity 8)
Ho1 0.092 0.500 0.165 (multiplicity 4)
Er1 0.000 0.500 0.500 (multiplicity 2)

***

20.
Computed, not measured: Ce2Nd3HoEr6 after structural relaxation at the GGA-PBE level of DFT.

Properties
The calculated formation energy comes out at 0.04 eV per atom.

a = 6.161 Å, b = 10.667 Å, c = 11.695 Å
α = 90.00°, β = 100.10°, γ = 90.00°
Space group C2/m (No. 12)
Unique sites:
Ce1 0.000 0.166 0.000 (multiplicity 4)
Nd1 0.000 0.000 0.500 (multiplicity 2)
Nd2 0.000 0.334 0.500 (multiplicity 4)
Ho1 0.000 0.500 0.000 (multiplicity 2)
Er1 0.247 0.000 0.246 (multiplicity 4)
Er2 0.250 0.168 0.754 (multiplicity 8)